The following is a DFT calculation (PBE) of Pr6Si2C after structural relaxation.

Raw formation energy (eV per atom): -0.15
Crystal system: tetragonal

a = 6.822 Å, b = 6.822 Å, c = 12.321 Å
α = 90.00°, β = 90.00°, γ = 90.00°
Positions (direct):
Pr (0.306, 0.306, 0.352)
Pr (0.694, 0.694, 0.352)
Pr (0.194, 0.806, 0.852)
Pr (0.806, 0.194, 0.852)
Pr (0.194, 0.806, 0.148)
Pr (0.806, 0.194, 0.148)
Pr (0.306, 0.306, 0.648)
Pr (0.694, 0.694, 0.648)
Pr (0.276, 0.276, 0.000)
Pr (0.724, 0.724, 0.000)
Pr (0.224, 0.776, 0.500)
Pr (0.776, 0.224, 0.500)
Si (0.000, 0.000, 0.332)
Si (0.500, 0.500, 0.832)
Si (0.500, 0.500, 0.168)
Si (0.000, 0.000, 0.668)
C (0.000, 0.000, 0.000)
C (0.500, 0.500, 0.500)

---

The following is a DFT calculation (PBE) of CaTaAgO2 after structural relaxation.

Raw formation energy (eV per atom): 0.32
Crystal system: tetragonal

a = 4.244 Å, b = 5.015 Å, c = 4.244 Å
α = 90.00°, β = 90.00°, γ = 90.00°
Each line ends with the local moment (μB).
Positions (direct):
Ca (0.000, 0.000, 0.000)  0.01
O (0.000, 0.000, 0.500)  -0.22
O (0.500, 0.000, 0.000)  -0.19
Ag (0.000, 0.500, 0.000)  0.04
Ta (0.500, 0.500, 0.500)  1.08

---

The following is a DFT calculation (PBE) of Pm5Sn3Pb after structural relaxation.

Crystal system: hexagonal

a = 6.714 Å, b = 9.638 Å, c = 9.638 Å
α = 120.00°, β = 90.00°, γ = 90.00°
Positions (direct):
Pm (0.000, 0.333, 0.667)
Pm (0.500, 0.667, 0.333)
Pm (0.000, 0.667, 0.333)
Pm (0.500, 0.333, 0.667)
Pm (0.750, 0.726, 0.000)
Pm (0.750, 0.274, 0.274)
Pm (0.750, 0.000, 0.726)
Pm (0.250, 0.274, 0.000)
Pm (0.250, 0.726, 0.726)
Pm (0.250, 0.000, 0.274)
Sn (0.750, 0.383, 0.000)
Sn (0.750, 0.617, 0.617)
Sn (0.750, 0.000, 0.383)
Sn (0.250, 0.617, 0.000)
Sn (0.250, 0.383, 0.383)
Sn (0.250, 0.000, 0.617)
Pb (0.000, 0.000, 0.000)
Pb (0.500, 0.000, 0.000)

---

Table of E (eV/atom), in record order: -5.57 -5.00 -5.06
Table of DOS(E_F) (states/eV/f.u.), in record order: 10.87 3.57 9.12